[1]
Below is a geometry-optimized MnAl2Os structure, with properties calculated at the GGA-PBE level.

Results
Calculated total energy in eV/cell: -28.7
Calculated volume in A^3/atom: 13.68
Formation enthalpy at 0 K in meV/atom: -214
SG: No. 99
Total magnetization in μB per cell: 2.11

a = 3.108 Å, b = 3.108 Å, c = 5.667 Å
α = 90.00°, β = 90.00°, γ = 90.00°
Atoms (fractional coordinates):
1 Mn 0.000 0.000 0.000
2 Al 0.000 0.000 0.498
3 Al 0.500 0.500 0.776
4 Os 0.500 0.500 0.264


[2]
Below is a geometry-optimized MnAl2Os structure, with properties calculated at the GGA-PBE level.

Results
Calculated total energy in eV/cell: -29.2
Calculated volume in A^3/atom: 13.57
Formation enthalpy at 0 K in meV/atom: -328
SG: No. 123
Total magnetization in μB per cell: 2.69

a = 4.179 Å, b = 4.179 Å, c = 3.109 Å
α = 90.00°, β = 90.00°, γ = 90.00°
Atoms (fractional coordinates):
1 Mn 0.000 0.000 0.000
2 Al 0.000 0.500 0.500
3 Al 0.500 0.000 0.500
4 Os 0.500 0.500 0.000


[3]
Below is a geometry-optimized Mn2AlOs2 structure, with properties calculated at the GGA-PBE level.

Results
Calculated total energy in eV/cell: -87.4
Calculated volume in A^3/atom: 14.01
Formation enthalpy at 0 K in meV/atom: 170
SG: No. 127
Total magnetization in μB per cell: 3.76

a = 7.213 Å, b = 7.213 Å, c = 2.694 Å
α = 90.00°, β = 90.00°, γ = 90.00°
Atoms (fractional coordinates):
1 Mn 0.164 0.336 0.000
2 Mn 0.336 0.836 0.000
3 Mn 0.664 0.164 0.000
4 Mn 0.836 0.664 0.000
5 Al 0.000 0.000 0.500
6 Al 0.500 0.500 0.500
7 Os 0.130 0.630 0.500
8 Os 0.370 0.130 0.500
9 Os 0.630 0.870 0.500
10 Os 0.870 0.370 0.500


[4]
Below is a geometry-optimized Mn2AlOs structure, with properties calculated at the GGA-PBE level.

Results
Calculated total energy in eV/cell: -33.7
Calculated volume in A^3/atom: 13.11
Formation enthalpy at 0 K in meV/atom: -86
SG: No. 8
Total magnetization in μB per cell: 4.09

a = 4.597 Å, b = 4.597 Å, c = 4.453 Å
α = 103.65°, β = 103.65°, γ = 35.12°
Atoms (fractional coordinates):
1 Mn 0.000 0.000 0.000
2 Mn 0.749 0.749 0.247
3 Al 0.246 0.246 0.751
4 Os 0.491 0.491 0.483


[5]
Below is a geometry-optimized Mn2AlOs structure, with properties calculated at the GGA-PBE level.

Results
Calculated total energy in eV/cell: -34.1
Calculated volume in A^3/atom: 13.31
Formation enthalpy at 0 K in meV/atom: -192
SG: No. 44
Total magnetization in μB per cell: 0.30

a = 4.627 Å, b = 4.627 Å, c = 4.627 Å
α = 134.48°, β = 129.81°, γ = 70.07°
Atoms (fractional coordinates):
1 Mn 0.000 0.000 0.000
2 Mn 0.757 0.257 0.500
3 Al 0.506 0.506 0.000
4 Os 0.253 0.753 0.500


[6]
Below is a geometry-optimized Mn2AlOs structure, with properties calculated at the GGA-PBE level.

Results
Calculated total energy in eV/cell: -32.9
Calculated volume in A^3/atom: 13.35
Formation enthalpy at 0 K in meV/atom: 91
SG: No. 35
Total magnetization in μB per cell: 1.34

a = 2.665 Å, b = 2.665 Å, c = 8.251 Å
α = 90.00°, β = 90.00°, γ = 114.32°
Atoms (fractional coordinates):
1 Mn 0.000 0.000 0.000
2 Mn 0.500 0.500 0.235
3 Al 0.500 0.500 0.754
4 Os 0.000 0.000 0.492


[7]
Below is a geometry-optimized Mn2AlOs structure, with properties calculated at the GGA-PBE level.

Results
Calculated total energy in eV/cell: -33.7
Calculated volume in A^3/atom: 13.00
Formation enthalpy at 0 K in meV/atom: -88
SG: No. 47
Total magnetization in μB per cell: 4.32

a = 3.058 Å, b = 4.084 Å, c = 4.165 Å
α = 90.00°, β = 90.00°, γ = 90.00°
Atoms (fractional coordinates):
1 Mn 0.000 0.000 0.000
2 Mn 0.500 0.500 0.000
3 Al 0.000 0.500 0.500
4 Os 0.500 0.000 0.500


[8]
Below is a geometry-optimized MnAl2Os structure, with properties calculated at the GGA-PBE level.

Results
Calculated total energy in eV/cell: -28.8
Calculated volume in A^3/atom: 13.94
Formation enthalpy at 0 K in meV/atom: -222
SG: No. 47
Total magnetization in μB per cell: 3.16

a = 3.173 Å, b = 4.041 Å, c = 4.349 Å
α = 90.00°, β = 90.00°, γ = 90.00°
Atoms (fractional coordinates):
1 Mn 0.000 0.000 0.000
2 Al 0.000 0.500 0.500
3 Al 0.500 0.500 0.000
4 Os 0.500 0.000 0.500